No. 1
# AcPuRu2, relaxed, DFT PBE
data_AcPuRu2
_cell_length_a 4.9925
_cell_length_b 4.9925
_cell_length_c 3.5561
_cell_angle_alpha 90.00
_cell_angle_beta 90.00
_cell_angle_gamma 90.00
_space_group_name_H-M_alt 'P 4/m m m'
_space_group_IT_number 123
_space_group_name_Hall '-P 4 2'
loop_
_atom_site_label
_atom_site_type_symbol
_atom_site_fract_x
_atom_site_fract_y
_atom_site_fract_z
_atom_site_occupancy
Ac1 Ac 0.0000 0.0000 0.0000 1
Pu1 Pu 0.5000 0.5000 0.0000 1
Ru1 Ru 0.0000 0.5000 0.5000 1
# Energy above the most stable polymorph in this dataset in kJ/mol of atoms: 17.4
# Calculated volume in A^3/atom: 22.16
# DFT formation energy in eV per atom: 0.121
# Total moment in μB/cell: 4.30
# E in eV/cell: -36.510
# Calculated density in g cm⁻³: 12.6



No. 2
# AcPu2Ru2, relaxed, DFT PBE
data_AcPu2Ru2
_cell_length_a 8.8347
_cell_length_b 11.0138
_cell_length_c 11.0450
_cell_angle_alpha 90.00
_cell_angle_beta 90.00
_cell_angle_gamma 90.00
_space_group_name_H-M_alt 'F d d d'
_space_group_IT_number 70
loop_
_space_group_symop_operation_xyz
'x,y,z'
'-x,-y,-z'
'-x+1/4,-y+1/4,z'
'x+1/4,y+1/4,-z'
'x,-y+1/4,-z+1/4'
'-x,y+1/4,z+1/4'
'-x+1/4,y,-z+1/4'
'x+1/4,-y,z+1/4'
'x,y+1/2,z+1/2'
'-x,-y+1/2,-z+1/2'
'-x+1/4,-y+3/4,z+1/2'
'x+1/4,y+3/4,-z+1/2'
'x,-y+3/4,-z+3/4'
'-x,y+3/4,z+3/4'
'-x+1/4,y+1/2,-z+3/4'
'x+1/4,-y+1/2,z+3/4'
'x+1/2,y,z+1/2'
'-x+1/2,-y,-z+1/2'
'-x+3/4,-y+1/4,z+1/2'
'x+3/4,y+1/4,-z+1/2'
'x+1/2,-y+1/4,-z+3/4'
'-x+1/2,y+1/4,z+3/4'
'-x+3/4,y,-z+3/4'
'x+3/4,-y,z+3/4'
'x+1/2,y+1/2,z'
'-x+1/2,-y+1/2,-z'
'-x+3/4,-y+3/4,z'
'x+3/4,y+3/4,-z'
'x+1/2,-y+3/4,-z+1/4'
'-x+1/2,y+3/4,z+1/4'
'-x+3/4,y+1/2,-z+1/4'
'x+3/4,-y+1/2,z+1/4'
loop_
_atom_site_label
_atom_site_type_symbol
_atom_site_fract_x
_atom_site_fract_y
_atom_site_fract_z
_atom_site_occupancy
Ac1 Ac 0.1250 0.1250 0.1250 1
Pu1 Pu 0.1250 0.1250 0.4828 1
Ru1 Ru 0.1250 0.3371 0.6250 1
# Energy above the most stable polymorph in this dataset in kJ/mol of atoms: 15.0
# Calculated volume in A^3/atom: 26.87
# DFT formation energy in eV per atom: 0.098
# Total moment in μB/cell: 74.77
# E in eV/cell: -406.663
# Calculated density in g cm⁻³: 11.3



No. 3
# AcPuRu2, relaxed, DFT PBE
data_AcPuRu2
_cell_length_a 7.0654
_cell_length_b 7.0654
_cell_length_c 7.0654
_cell_angle_alpha 90.00
_cell_angle_beta 90.00
_cell_angle_gamma 90.00
_space_group_name_H-M_alt 'F m -3 m'
_space_group_IT_number 225
_space_group_name_Hall '-F 4 2 3'
loop_
_atom_site_label
_atom_site_type_symbol
_atom_site_fract_x
_atom_site_fract_y
_atom_site_fract_z
_atom_site_occupancy
Ac1 Ac 0.0000 0.0000 0.0000 1
Pu1 Pu 0.0000 0.0000 0.5000 1
Ru1 Ru 0.2500 0.2500 0.2500 1
# Energy above the most stable polymorph in this dataset in kJ/mol of atoms: 14.6
# Calculated volume in A^3/atom: 22.04
# DFT formation energy in eV per atom: 0.092
# Total moment in μB/cell: 16.68
# E in eV/cell: -146.504
# Calculated density in g cm⁻³: 12.7



No. 4
# AcPuRu2, relaxed, DFT PBE
data_AcPuRu2
_cell_length_a 7.4702
_cell_length_b 6.6103
_cell_length_c 7.5736
_cell_angle_alpha 90.00
_cell_angle_beta 90.00
_cell_angle_gamma 90.00
_space_group_name_H-M_alt 'P n m a'
_space_group_IT_number 62
_space_group_name_Hall '-P 2ac 2n'
loop_
_atom_site_label
_atom_site_type_symbol
_atom_site_fract_x
_atom_site_fract_y
_atom_site_fract_z
_atom_site_occupancy
Ac1 Ac 0.0133 0.2500 0.1712 1
Pu1 Pu 0.1652 0.2500 0.6671 1
Ru1 Ru 0.1737 0.5467 0.4393 1
# Energy above the most stable polymorph in this dataset in kJ/mol of atoms: 0.0
# Calculated volume in A^3/atom: 23.37
# DFT formation energy in eV per atom: -0.060
# Total moment in μB/cell: 16.19
# E in eV/cell: -148.920
# Calculated density in g cm⁻³: 12.0



What did the third record say?
# AcPuRu2, relaxed, DFT PBE
data_AcPuRu2
_cell_length_a 7.0654
_cell_length_b 7.0654
_cell_length_c 7.0654
_cell_angle_alpha 90.00
_cell_angle_beta 90.00
_cell_angle_gamma 90.00
_space_group_name_H-M_alt 'F m -3 m'
_space_group_IT_number 225
_space_group_name_Hall '-F 4 2 3'
loop_
_atom_site_label
_atom_site_type_symbol
_atom_site_fract_x
_atom_site_fract_y
_atom_site_fract_z
_atom_site_occupancy
Ac1 Ac 0.0000 0.0000 0.0000 1
Pu1 Pu 0.0000 0.0000 0.5000 1
Ru1 Ru 0.2500 0.2500 0.2500 1
# Energy above the most stable polymorph in this dataset in kJ/mol of atoms: 14.6
# Calculated volume in A^3/atom: 22.04
# DFT formation energy in eV per atom: 0.092
# Total moment in μB/cell: 16.68
# E in eV/cell: -146.504
# Calculated density in g cm⁻³: 12.7



- Among the records above, which one has the highest E?
  number 1



- The highest DFT formation energy belongs to which entry?
  number 1



Please write out number 3 again, unchanged.
# AcPuRu2, relaxed, DFT PBE
data_AcPuRu2
_cell_length_a 7.0654
_cell_length_b 7.0654
_cell_length_c 7.0654
_cell_angle_alpha 90.00
_cell_angle_beta 90.00
_cell_angle_gamma 90.00
_space_group_name_H-M_alt 'F m -3 m'
_space_group_IT_number 225
_space_group_name_Hall '-F 4 2 3'
loop_
_atom_site_label
_atom_site_type_symbol
_atom_site_fract_x
_atom_site_fract_y
_atom_site_fract_z
_atom_site_occupancy
Ac1 Ac 0.0000 0.0000 0.0000 1
Pu1 Pu 0.0000 0.0000 0.5000 1
Ru1 Ru 0.2500 0.2500 0.2500 1
# Energy above the most stable polymorph in this dataset in kJ/mol of atoms: 14.6
# Calculated volume in A^3/atom: 22.04
# DFT formation energy in eV per atom: 0.092
# Total moment in μB/cell: 16.68
# E in eV/cell: -146.504
# Calculated density in g cm⁻³: 12.7